1.
VASP calculation (meta-GGA SCAN) on a PBEsol-optimized structure of LaIrAu2.

```
data_LaIrAu2
_chemical_formula_sum 'La4 Ir4 Au8'
_symmetry_space_group_name_H-M 'P 1'
_symmetry_Int_Tables_number 1
_symmetry_space_group_name_Hall 'P 1'
_cell_length_a 5.559
_cell_length_b 5.758
_cell_length_c 10.179
_cell_angle_alpha 90.00
_cell_angle_beta 90.00
_cell_angle_gamma 90.00
loop_
_atom_site_label
_atom_site_type_symbol
_atom_site_fract_x
_atom_site_fract_y
_atom_site_fract_z
La1 La 0.000 0.000 0.000
La2 La 0.000 0.500 0.500
La3 La 0.500 0.000 0.500
La4 La 0.500 0.500 0.000
Ir1 Ir 0.000 0.000 0.500
Ir2 Ir 0.000 0.500 0.000
Ir3 Ir 0.500 0.000 0.000
Ir4 Ir 0.500 0.500 0.500
Au1 Au 0.000 0.250 0.250
Au2 Au 0.000 0.250 0.750
Au3 Au 0.000 0.750 0.250
Au4 Au 0.000 0.750 0.750
Au5 Au 0.500 0.250 0.250
Au6 Au 0.500 0.250 0.750
Au7 Au 0.500 0.750 0.250
Au8 Au 0.500 0.750 0.750
```

Properties
Mass density: 14781 kg/m³
Electronic total energy: -63.464 eV per atom
Energy of formation: -129 kJ/mol of formula units
Offset from the most stable computed form: 0.42 eV/f.u.

2.
VASP calculation (meta-GGA SCAN) on a PBEsol-optimized structure of LaIrAu2.

```
data_LaIrAu2
_chemical_formula_sum 'La3 Ir3 Au6'
_symmetry_space_group_name_H-M 'P 1'
_symmetry_Int_Tables_number 1
_symmetry_space_group_name_Hall 'P 1'
_cell_length_a 2.940
_cell_length_b 2.940
_cell_length_c 29.840
_cell_angle_alpha 90.00
_cell_angle_beta 90.00
_cell_angle_gamma 120.00
loop_
_atom_site_label
_atom_site_type_symbol
_atom_site_fract_x
_atom_site_fract_y
_atom_site_fract_z
La1 La 0.000 0.000 0.000
La2 La 0.333 0.667 0.667
La3 La 0.667 0.333 0.333
Ir1 Ir 0.000 0.000 0.500
Ir2 Ir 0.333 0.667 0.167
Ir3 Ir 0.667 0.333 0.833
Au1 Au 0.000 0.000 0.241
Au2 Au 0.000 0.000 0.759
Au3 Au 0.333 0.667 0.425
Au4 Au 0.333 0.667 0.908
Au5 Au 0.667 0.333 0.092
Au6 Au 0.667 0.333 0.575
```

Properties
Mass density: 16172 kg/m³
Electronic total energy: -62.808 eV per atom
Energy of formation: 124 kJ/mol of formula units
Offset from the most stable computed form: 3.05 eV/f.u.

3.
VASP calculation (meta-GGA SCAN) on a PBEsol-optimized structure of LaIrAu.

```
data_LaIrAu
_chemical_formula_sum 'La4 Ir4 Au4'
_symmetry_space_group_name_H-M 'P 1'
_symmetry_Int_Tables_number 1
_symmetry_space_group_name_Hall 'P 1'
_cell_length_a 6.582
_cell_length_b 6.582
_cell_length_c 6.582
_cell_angle_alpha 90.00
_cell_angle_beta 90.00
_cell_angle_gamma 90.00
loop_
_atom_site_label
_atom_site_type_symbol
_atom_site_fract_x
_atom_site_fract_y
_atom_site_fract_z
La1 La 0.000 0.000 0.000
La2 La 0.000 0.500 0.500
La3 La 0.500 0.000 0.500
La4 La 0.500 0.500 0.000
Ir1 Ir 0.000 0.000 0.500
Ir2 Ir 0.000 0.500 0.000
Ir3 Ir 0.500 0.000 0.000
Ir4 Ir 0.500 0.500 0.500
Au1 Au 0.250 0.250 0.250
Au2 Au 0.250 0.750 0.750
Au3 Au 0.750 0.250 0.750
Au4 Au 0.750 0.750 0.250
```

Properties
Mass density: 12300 kg/m³
Electronic total energy: -61.363 eV per atom
Energy of formation: -70 kJ/mol of formula units
Offset from the most stable computed form: 1.16 eV/f.u.

4.
VASP calculation (meta-GGA SCAN) on a PBEsol-optimized structure of LaIrAu.

```
data_LaIrAu
_chemical_formula_sum 'La1 Ir1 Au1'
_symmetry_space_group_name_H-M 'P 1'
_symmetry_Int_Tables_number 1
_symmetry_space_group_name_Hall 'P 1'
_cell_length_a 4.487
_cell_length_b 4.487
_cell_length_c 3.873
_cell_angle_alpha 90.00
_cell_angle_beta 90.00
_cell_angle_gamma 120.00
loop_
_atom_site_label
_atom_site_type_symbol
_atom_site_fract_x
_atom_site_fract_y
_atom_site_fract_z
La1 La 0.000 0.000 0.000
Ir1 Ir 0.667 0.333 0.500
Au1 Au 0.333 0.667 0.500
```

Properties
Mass density: 12988 kg/m³
Electronic total energy: -61.748 eV per atom
Energy of formation: -182 kJ/mol of formula units
Offset from the most stable computed form: 0.00 eV/f.u.

5.
VASP calculation (meta-GGA SCAN) on a PBEsol-optimized structure of LaIrAu4.

```
data_LaIrAu4
_chemical_formula_sum 'La1 Ir1 Au4'
_symmetry_space_group_name_H-M 'P 1'
_symmetry_Int_Tables_number 1
_symmetry_space_group_name_Hall 'P 1'
_cell_length_a 5.440
_cell_length_b 5.440
_cell_length_c 5.440
_cell_angle_alpha 60.00
_cell_angle_beta 60.00
_cell_angle_gamma 60.00
loop_
_atom_site_label
_atom_site_type_symbol
_atom_site_fract_x
_atom_site_fract_y
_atom_site_fract_z
La1 La 0.000 0.000 0.000
Ir1 Ir 0.750 0.750 0.750
Au1 Au 0.376 0.376 0.376
Au2 Au 0.376 0.376 0.873
Au3 Au 0.376 0.873 0.376
Au4 Au 0.873 0.376 0.376
```

Properties
Mass density: 16327 kg/m³
Electronic total energy: -65.366 eV per atom
Energy of formation: -131 kJ/mol of formula units

6.
VASP calculation (meta-GGA SCAN) on a PBEsol-optimized structure of LiIrAu.

```
data_LiIrAu
_chemical_formula_sum 'Li4 Ir4 Au4'
_symmetry_space_group_name_H-M 'P 1'
_symmetry_Int_Tables_number 1
_symmetry_space_group_name_Hall 'P 1'
_cell_length_a 5.586
_cell_length_b 5.586
_cell_length_c 5.586
_cell_angle_alpha 90.00
_cell_angle_beta 90.00
_cell_angle_gamma 90.00
loop_
_atom_site_label
_atom_site_type_symbol
_atom_site_fract_x
_atom_site_fract_y
_atom_site_fract_z
Li1 Li 0.000 0.000 0.000
Li2 Li 0.000 0.500 0.500
Li3 Li 0.500 0.000 0.500
Li4 Li 0.500 0.500 0.000
Ir1 Ir 0.250 0.250 0.250
Ir2 Ir 0.250 0.750 0.750
Ir3 Ir 0.750 0.250 0.750
Ir4 Ir 0.750 0.750 0.250
Au1 Au 0.250 0.250 0.750
Au2 Au 0.250 0.750 0.250
Au3 Au 0.750 0.250 0.250
Au4 Au 0.750 0.750 0.750
```

Properties
Mass density: 15092 kg/m³
Electronic total energy: -47.133 eV per atom
Energy of formation: 120 kJ/mol of formula units

7.
VASP calculation (meta-GGA SCAN) on a PBEsol-optimized structure of LiIrAu2.

```
data_LiIrAu2
_chemical_formula_sum 'Li1 Ir1 Au2'
_symmetry_space_group_name_H-M 'P 1'
_symmetry_Int_Tables_number 1
_symmetry_space_group_name_Hall 'P 1'
_cell_length_a 4.682
_cell_length_b 4.682
_cell_length_c 2.775
_cell_angle_alpha 90.00
_cell_angle_beta 90.00
_cell_angle_gamma 90.00
loop_
_atom_site_label
_atom_site_type_symbol
_atom_site_fract_x
_atom_site_fract_y
_atom_site_fract_z
Li1 Li 0.000 0.000 0.000
Ir1 Ir 0.500 0.500 0.000
Au1 Au 0.000 0.500 0.500
Au2 Au 0.500 0.000 0.500
```

Properties
Mass density: 16190 kg/m³
Electronic total energy: -53.140 eV per atom
Energy of formation: -73 kJ/mol of formula units

8.
VASP calculation (meta-GGA SCAN) on a PBEsol-optimized structure of Li3IrAu.

```
data_Li3IrAu
_chemical_formula_sum 'Li3 Ir1 Au1'
_symmetry_space_group_name_H-M 'P 1'
_symmetry_Int_Tables_number 1
_symmetry_space_group_name_Hall 'P 1'
_cell_length_a 4.524
_cell_length_b 4.524
_cell_length_c 4.524
_cell_angle_alpha 90.00
_cell_angle_beta 90.00
_cell_angle_gamma 90.00
loop_
_atom_site_label
_atom_site_type_symbol
_atom_site_fract_x
_atom_site_fract_y
_atom_site_fract_z
Li1 Li 0.000 0.000 0.500
Li2 Li 0.000 0.500 0.000
Li3 Li 0.500 0.000 0.000
Ir1 Ir 0.000 0.000 0.000
Au1 Au 0.500 0.500 0.500
```

Properties
Mass density: 7352 kg/m³
Electronic total energy: -28.964 eV per atom
Energy of formation: 252 kJ/mol of formula units
Offset from the most stable computed form: 0.00 eV/f.u.

9.
VASP calculation (meta-GGA SCAN) on a PBEsol-optimized structure of Li4IrAu.

```
data_Li4IrAu
_chemical_formula_sum 'Li4 Ir1 Au1'
_symmetry_space_group_name_H-M 'P 1'
_symmetry_Int_Tables_number 1
_symmetry_space_group_name_Hall 'P 1'
_cell_length_a 4.730
_cell_length_b 4.730
_cell_length_c 4.730
_cell_angle_alpha 60.00
_cell_angle_beta 60.00
_cell_angle_gamma 60.00
loop_
_atom_site_label
_atom_site_type_symbol
_atom_site_fract_x
_atom_site_fract_y
_atom_site_fract_z
Li1 Li 0.124 0.124 0.124
Li2 Li 0.124 0.124 0.629
Li3 Li 0.124 0.629 0.124
Li4 Li 0.629 0.124 0.124
Ir1 Ir 0.750 0.750 0.750
Au1 Au 0.500 0.500 0.500
```

Properties
Mass density: 9255 kg/m³
Electronic total energy: -25.072 eV per atom
Energy of formation: -60 kJ/mol of formula units

10.
VASP calculation (meta-GGA SCAN) on a PBEsol-optimized structure of LiIrAu2.

```
data_LiIrAu2
_chemical_formula_sum 'Li2 Ir2 Au4'
_symmetry_space_group_name_H-M 'P 1'
_symmetry_Int_Tables_number 1
_symmetry_space_group_name_Hall 'P 1'
_cell_length_a 2.803
_cell_length_b 4.646
_cell_length_c 9.433
_cell_angle_alpha 90.00
_cell_angle_beta 90.00
_cell_angle_gamma 90.00
loop_
_atom_site_label
_atom_site_type_symbol
_atom_site_fract_x
_atom_site_fract_y
_atom_site_fract_z
Li1 Li 0.000 0.000 0.000
Li2 Li 0.500 0.500 0.000
Ir1 Ir 0.000 0.500 0.774
Ir2 Ir 0.500 0.000 0.774
Au1 Au 0.000 0.000 0.513
Au2 Au 0.000 0.500 0.239
Au3 Au 0.500 0.000 0.239
Au4 Au 0.500 0.500 0.513
```

Properties
Mass density: 16031 kg/m³
Electronic total energy: -52.972 eV per atom
Energy of formation: -8 kJ/mol of formula units

11.
VASP calculation (meta-GGA SCAN) on a PBEsol-optimized structure of MgIr4Au.

```
data_MgIr4Au
_chemical_formula_sum 'Mg1 Ir4 Au1'
_symmetry_space_group_name_H-M 'P 1'
_symmetry_Int_Tables_number 1
_symmetry_space_group_name_Hall 'P 1'
_cell_length_a 5.158
_cell_length_b 5.158
_cell_length_c 5.158
_cell_angle_alpha 60.00
_cell_angle_beta 60.00
_cell_angle_gamma 60.00
loop_
_atom_site_label
_atom_site_type_symbol
_atom_site_fract_x
_atom_site_fract_y
_atom_site_fract_z
Mg1 Mg 0.000 0.000 0.000
Ir1 Ir 0.375 0.375 0.375
Ir2 Ir 0.375 0.375 0.875
Ir3 Ir 0.375 0.875 0.375
Ir4 Ir 0.875 0.375 0.375
Au1 Au 0.750 0.750 0.750
```

Properties
Mass density: 16945 kg/m³
Electronic total energy: -59.553 eV per atom
Energy of formation: 117 kJ/mol of formula units

12.
VASP calculation (meta-GGA SCAN) on a PBEsol-optimized structure of MnIr2Au.

```
data_MnIr2Au
_chemical_formula_sum 'Mn2 Ir4 Au2'
_symmetry_space_group_name_H-M 'P 1'
_symmetry_Int_Tables_number 1
_symmetry_space_group_name_Hall 'P 1'
_cell_length_a 2.769
_cell_length_b 4.649
_cell_length_c 9.123
_cell_angle_alpha 90.00
_cell_angle_beta 90.00
_cell_angle_gamma 90.00
loop_
_atom_site_label
_atom_site_type_symbol
_atom_site_fract_x
_atom_site_fract_y
_atom_site_fract_z
Mn1 Mn 0.000 0.000 0.000
Mn2 Mn 0.500 0.500 0.000
Ir1 Ir 0.000 0.500 0.225
Ir2 Ir 0.000 0.500 0.775
Ir3 Ir 0.500 0.000 0.225
Ir4 Ir 0.500 0.000 0.775
Au1 Au 0.000 0.000 0.500
Au2 Au 0.500 0.500 0.500
```

Properties
Mass density: 17995 kg/m³
Electronic total energy: -57.391 eV per atom
Energy of formation: 4 kJ/mol of formula units

13.
VASP calculation (meta-GGA SCAN) on a PBEsol-optimized structure of MnIr2Au.

```
data_MnIr2Au
_chemical_formula_sum 'Mn1 Ir2 Au1'
_symmetry_space_group_name_H-M 'P 1'
_symmetry_Int_Tables_number 1
_symmetry_space_group_name_Hall 'P 1'
_cell_length_a 2.787
_cell_length_b 4.579
_cell_length_c 4.642
_cell_angle_alpha 90.00
_cell_angle_beta 90.00
_cell_angle_gamma 90.00
loop_
_atom_site_label
_atom_site_type_symbol
_atom_site_fract_x
_atom_site_fract_y
_atom_site_fract_z
Mn1 Mn 0.000 0.000 0.000
Ir1 Ir 0.000 0.500 0.500
Ir2 Ir 0.500 0.500 0.000
Au1 Au 0.500 0.000 0.500
```

Properties
Mass density: 17836 kg/m³
Electronic total energy: -57.374 eV per atom
Energy of formation: 11 kJ/mol of formula units

14.
VASP calculation (meta-GGA SCAN) on a PBEsol-optimized structure of MnIrAu2.

```
data_MnIrAu2
_chemical_formula_sum 'Mn1 Ir1 Au2'
_symmetry_space_group_name_H-M 'P 1'
_symmetry_Int_Tables_number 1
_symmetry_space_group_name_Hall 'P 1'
_cell_length_a 2.782
_cell_length_b 2.782
_cell_length_c 7.769
_cell_angle_alpha 90.00
_cell_angle_beta 90.00
_cell_angle_gamma 90.00
loop_
_atom_site_label
_atom_site_type_symbol
_atom_site_fract_x
_atom_site_fract_y
_atom_site_fract_z
Mn1 Mn 0.000 0.000 0.000
Ir1 Ir 0.500 0.500 0.800
Au1 Au 0.000 0.000 0.528
Au2 Au 0.500 0.500 0.246
```

Properties
Mass density: 17703 kg/m³
Electronic total energy: -57.022 eV per atom
Energy of formation: -41 kJ/mol of formula units